# 1
Compound: LiThScCu
Source: Alexandria
Functional: GGA-PBE
Structure: optimized geometry

uncorrected energy	-4.85	eV per atom

Cell: 4.953 4.953 4.953 Å, 60.00 60.00 60.00°
Element x y z (fractional)
Sc (0.500, 0.500, 0.500)
Cu (0.250, 0.250, 0.250)
Th (0.000, 0.000, 0.000)
Li (0.750, 0.750, 0.750)



# 2
Compound: LiScTlCu
Source: Alexandria
Functional: GGA-PBE
Structure: optimized geometry

uncorrected energy	-3.91	eV per atom

Cell: 4.599 4.599 4.599 Å, 60.00 60.00 60.00°
Element x y z (fractional)
Sc (0.500, 0.500, 0.500)
Tl (0.000, 0.000, 0.000)
Cu (0.250, 0.250, 0.250)
Li (0.750, 0.750, 0.750)



# 3
Compound: LiCuSe2
Source: Alexandria
Functional: GGA-PBE
Structure: optimized geometry

formation energy (no corrections)	-175	kJ/mol of formula units
uncorrected energy	-3.70	eV per atom

Cell: 7.068 7.068 3.977 Å, 89.98 89.98 22.37°
Element x y z (fractional)
Cu (0.464, 0.464, 0.375)
Se (0.035, 0.035, 0.875)
Se (0.289, 0.289, 0.375)
Li (0.712, 0.712, 0.875)



# 4
Compound: LiCuSe2
Source: Alexandria
Functional: GGA-PBE
Structure: optimized geometry

formation energy (no corrections)	-77	kJ/mol of formula units
uncorrected energy	-3.44	eV per atom

Cell: 5.794 5.794 5.794 Å, 143.19 143.19 53.04°
Element x y z (fractional)
Cu (0.500, 0.500, 0.000)
Li (0.750, 0.250, 0.500)
Se (0.000, 0.000, 0.000)
Se (0.250, 0.750, 0.500)



# 5
Compound: LiCuSe2
Source: Alexandria
Functional: GGA-PBE
Structure: optimized geometry

formation energy (no corrections)	-146	kJ/mol of formula units
uncorrected energy	-3.62	eV per atom

Cell: 3.592 2.891 7.069 Å, 82.91 90.00 90.00°
Element x y z (fractional)
Cu (0.500, 0.250, 0.250)
Li (0.500, 0.750, 0.750)
Se (0.000, 0.248, 0.006)
Se (0.000, 0.252, 0.494)



# 6
Compound: LiCuSe2
Source: Alexandria
Functional: GGA-PBE
Structure: optimized geometry

formation energy (no corrections)	-148	kJ/mol of formula units
uncorrected energy	-3.63	eV per atom

Cell: 3.636 3.636 6.659 Å, 74.43 74.43 59.81°
Element x y z (fractional)
Cu (0.250, 0.250, 0.250)
Li (0.750, 0.750, 0.750)
Se (0.992, 0.992, 0.026)
Se (0.508, 0.508, 0.474)



# 7
Compound: LiCuSe2
Source: Alexandria
Functional: GGA-PBE
Structure: optimized geometry

formation energy (no corrections)	-111	kJ/mol of formula units
uncorrected energy	-3.53	eV per atom

Cell: 5.106 5.106 5.106 Å, 138.58 105.67 88.86°
Element x y z (fractional)
Cu (0.750, 0.250, 0.500)
Li (0.250, 0.750, 0.500)
Se (0.963, 0.963, 0.000)
Se (0.537, 0.537, 0.000)



# 8
Compound: LiCuSe2
Source: Alexandria
Functional: GGA-PBE
Structure: optimized geometry

formation energy (no corrections)	-87	kJ/mol of formula units
uncorrected energy	-3.47	eV per atom

Cell: 3.769 4.956 3.668 Å, 90.00 90.00 90.00°
Element x y z (fractional)
Cu (0.500, 0.000, 0.500)
Li (0.000, 0.500, 0.500)
Se (0.000, 0.000, 0.000)
Se (0.500, 0.500, 0.000)



# 9
Compound: Li5CuSe3
Source: Alexandria
Functional: GGA-PBE
Structure: optimized geometry

formation energy (no corrections)	-913	kJ/mol of formula units
uncorrected energy	-3.73	eV per atom

Cell: 5.967 7.297 8.426 Å, 106.78 90.00 114.14°
Element x y z (fractional)
Li (0.247, 0.000, 0.750)
Li (0.585, 0.673, 0.914)
Li (0.914, 0.328, 0.079)
Li (0.415, 0.327, 0.086)
Li (0.586, 0.672, 0.421)
Li (0.753, 0.000, 0.250)
Li (0.087, 0.673, 0.414)
Li (0.913, 0.327, 0.586)
Li (0.414, 0.328, 0.579)
Li (0.086, 0.672, 0.921)
Cu (0.737, 0.000, 0.750)
Cu (0.263, 0.000, 0.250)
Se (0.000, 0.000, 0.000)
Se (0.664, 0.331, 0.333)
Se (0.000, 0.000, 0.500)
Se (0.336, 0.669, 0.667)
Se (0.666, 0.331, 0.833)
Se (0.334, 0.669, 0.167)



# 10
Compound: Li2CuSe
Source: Alexandria
Functional: GGA-PBE
Structure: optimized geometry

formation energy (no corrections)	-173	kJ/mol of formula units
uncorrected energy	-3.30	eV per atom

Cell: 4.870 4.870 4.870 Å, 133.66 133.79 67.52°
Element x y z (fractional)
Cu (0.250, 0.750, 0.500)
Li (0.000, 0.000, 0.000)
Li (0.750, 0.250, 0.500)
Se (0.500, 0.500, 0.000)



# 11
Compound: LiCuSe2
Source: Alexandria
Functional: GGA-PBE
Structure: optimized geometry

formation energy (no corrections)	-91	kJ/mol of formula units
uncorrected energy	-3.48	eV per atom

Cell: 7.907 7.907 7.907 Å, 26.51 26.51 26.51°
Element x y z (fractional)
Cu (0.500, 0.500, 0.500)
Se (0.894, 0.894, 0.894)
Se (0.106, 0.106, 0.106)
Li (0.000, 0.000, 0.000)



# 12
Compound: Li4CuSe
Source: Alexandria
Functional: GGA-PBE
Structure: optimized geometry

formation energy (no corrections)	-22	kJ/mol of formula units
uncorrected energy	-2.58	eV per atom

Cell: 5.134 5.134 5.134 Å, 60.00 60.00 60.00°
Element x y z (fractional)
Li (0.875, 0.375, 0.375)
Li (0.375, 0.375, 0.875)
Li (0.375, 0.875, 0.375)
Li (0.375, 0.375, 0.375)
Cu (0.000, 0.000, 0.000)
Se (0.750, 0.750, 0.750)



| no. | total magnetization (μB per formula unit) |
| --- | --- |
| 1 | 0.92 |
| 2 | 0.00 |
| 3 | 0.00 |
| 4 | 0.00 |
| 5 | 0.00 |
| 6 | 0.00 |
| 7 | 0.00 |
| 8 | 0.00 |
| 9 | 0.00 |
| 10 | 0.00 |
| 11 | 0.00 |
| 12 | 0.89 |